i | Below is crystalline InW2C at its relaxed geometry, with properties calculated at the PBE level.

Calculated values
crystal system = tetragonal

a b c (Å): 6.927 6.927 6.927
angles (deg): 136.38 136.38 63.39
Element x y z (fractional)
In 0.000 0.000 0.000
In 0.750 0.250 0.500
W 0.282 0.625 0.157
W 0.375 0.532 0.657
W 0.468 0.125 0.843
W 0.875 0.718 0.343
C 0.250 0.750 0.500
C 0.500 0.500 0.000

=====

ii | Below is crystalline InW2C at its relaxed geometry, with properties calculated at the PBE level.

Calculated values
crystal system = cubic

a b c (Å): 4.374 4.374 4.374
angles (deg): 60.00 60.00 60.00
Element x y z (fractional)
In 0.000 0.000 0.000
W 0.250 0.250 0.250
W 0.750 0.750 0.750
C 0.500 0.500 0.500

=====

Which structure is most stable, and how do the rest compare? From most to least stable: i, ii.

=====

i | Below is crystalline YInC3 at its relaxed geometry, with properties calculated at the PBE level.

Calculated values
crystal system = cubic

a b c (Å): 4.561 4.561 4.561
angles (deg): 90.00 90.00 90.00
Element x y z (fractional)
Y 0.000 0.000 0.000
In 0.500 0.500 0.500
C 0.000 0.000 0.500
C 0.000 0.500 0.000
C 0.500 0.000 0.000

=====

ii | Below is crystalline YInC3 at its relaxed geometry, with properties calculated at the PBE level.

Calculated values
crystal system = cubic

a b c (Å): 4.282 4.282 4.282
angles (deg): 90.00 90.00 90.00
Element x y z (fractional)
Y 0.000 0.000 0.000
In 0.500 0.500 0.500
C 0.000 0.500 0.500
C 0.500 0.000 0.500
C 0.500 0.500 0.000

=====

Which structure is most stable, and how do the rest compare? From most to least stable: ii, i.

=====

i | Below is crystalline ZnIn3C at its relaxed geometry, with properties calculated at the PBE level.

Calculated values
crystal system = cubic

a b c (Å): 5.177 5.177 5.177
angles (deg): 90.00 90.00 90.00
Element x y z (fractional)
Zn 0.000 0.000 0.000
In 0.000 0.000 0.500
In 0.000 0.500 0.000
In 0.500 0.000 0.000
C 0.500 0.500 0.500

=====

ii | Below is crystalline ZnIn3C at its relaxed geometry, with properties calculated at the PBE level.

Calculated values
crystal system = cubic

a b c (Å): 4.793 4.793 4.793
angles (deg): 90.00 90.00 90.00
Element x y z (fractional)
Zn 0.000 0.000 0.000
In 0.000 0.500 0.500
In 0.500 0.000 0.500
In 0.500 0.500 0.000
C 0.500 0.500 0.500

=====

Which structure is most stable, and how do the rest compare? From most to least stable: ii, i.

=====

i | Below is crystalline ZnIn2C at its relaxed geometry, with properties calculated at the PBE level.

Calculated values
crystal system = cubic

a b c (Å): 4.710 4.710 4.710
angles (deg): 60.00 60.00 60.00
Element x y z (fractional)
Zn 0.000 0.000 0.000
In 0.250 0.250 0.250
In 0.750 0.750 0.750
C 0.500 0.500 0.500

=====

ii | Below is crystalline ZnIn2C at its relaxed geometry, with properties calculated at the PBE level.

Calculated values
crystal system = tetragonal

a b c (Å): 6.358 6.358 6.358
angles (deg): 121.80 121.80 86.91
Element x y z (fractional)
Zn 0.000 0.000 0.000
Zn 0.750 0.250 0.500
In 0.204 0.625 0.079
In 0.375 0.454 0.579
In 0.546 0.125 0.921
In 0.875 0.796 0.421
C 0.250 0.750 0.500
C 0.500 0.500 0.000

=====

Which structure is most stable, and how do the rest compare? From most to least stable: ii, i.

=====

i | Below is crystalline Zr4In2C at its relaxed geometry, with properties calculated at the PBE level.

Calculated values
crystal system = monoclinic

a b c (Å): 5.886 3.268 8.068
angles (deg): 90.00 105.45 90.00
Element x y z (fractional)
Zr 0.087 0.000 0.307
Zr 0.254 0.500 0.010
Zr 0.746 0.500 0.990
Zr 0.913 0.000 0.693
In 0.374 0.500 0.650
In 0.626 0.500 0.350
C 0.000 0.000 0.000

=====

ii | Below is crystalline Zr4In2C at its relaxed geometry, with properties calculated at the PBE level.

Calculated values
crystal system = tetragonal

a b c (Å): 8.241 8.241 8.241
angles (deg): 148.32 148.32 45.42
Element x y z (fractional)
Zr 0.000 0.500 0.500
Zr 0.152 0.152 0.000
Zr 0.500 0.000 0.500
Zr 0.848 0.848 0.000
In 0.355 0.355 0.000
In 0.645 0.645 0.000
C 0.000 0.000 0.000

=====

Which structure is most stable, and how do the rest compare? From most to least stable: ii, i.

=====

i | Below is crystalline Ir3C5 at its relaxed geometry, with properties calculated at the PBE level.

Calculated values
crystal system = monoclinic

a b c (Å): 5.925 5.925 6.795
angles (deg): 99.46 99.46 118.84
Element x y z (fractional)
Ir 0.000 0.000 0.000
Ir 0.194 0.194 0.410
Ir 0.469 0.744 0.215
Ir 0.479 0.871 0.818
Ir 0.744 0.469 0.215
Ir 0.871 0.479 0.818
C 0.235 0.822 0.000
C 0.356 0.356 0.190
C 0.361 0.488 0.703
C 0.364 0.967 0.402
C 0.482 0.880 0.523
C 0.488 0.361 0.703
C 0.822 0.235 0.000
C 0.846 0.846 0.216
C 0.880 0.482 0.523
C 0.967 0.364 0.402

=====

ii | Below is crystalline Ir3C5 at its relaxed geometry, with properties calculated at the PBE level.

Calculated values
crystal system = tetragonal

a b c (Å): 2.926 2.926 9.983
angles (deg): 90.00 90.00 90.00
Element x y z (fractional)
Ir 0.000 0.000 0.000
Ir 0.500 0.500 0.279
Ir 0.500 0.500 0.721
C 0.000 0.000 0.368
C 0.000 0.000 0.500
C 0.000 0.000 0.632
C 0.500 0.500 0.077
C 0.500 0.500 0.923

=====

iii | Below is crystalline Ir3C5 at its relaxed geometry, with properties calculated at the PBE level.

Calculated values
crystal system = orthorhombic

a b c (Å): 6.672 6.672 2.588
angles (deg): 90.00 90.00 129.75
Element x y z (fractional)
Ir 0.000 0.000 0.000
Ir 0.313 0.687 0.500
Ir 0.687 0.313 0.500
C 0.000 0.500 0.000
C 0.295 0.295 0.500
C 0.500 0.000 0.000
C 0.500 0.500 0.000
C 0.705 0.705 0.500

=====

iv | Below is crystalline Ir3C5 at its relaxed geometry, with properties calculated at the PBE level.

Calculated values
crystal system = hexagonal

a b c (Å): 5.685 5.685 6.771
angles (deg): 90.00 90.00 120.00
Element x y z (fractional)
Ir 0.000 0.375 0.250
Ir 0.000 0.625 0.750
Ir 0.375 0.000 0.250
Ir 0.375 0.375 0.750
Ir 0.625 0.000 0.750
Ir 0.625 0.625 0.250
C 0.000 0.262 0.750
C 0.000 0.738 0.250
C 0.262 0.000 0.750
C 0.262 0.262 0.250
C 0.333 0.667 0.000
C 0.333 0.667 0.500
C 0.667 0.333 0.000
C 0.667 0.333 0.500
C 0.738 0.000 0.250
C 0.738 0.738 0.750

=====

Which structure is most stable, and how do the rest compare? From most to least stable: i, ii, iii, iv.

=====

i | Below is crystalline Ir3C at its relaxed geometry, with properties calculated at the PBE level.

Calculated values
crystal system = orthorhombic

a b c (Å): 4.522 4.522 2.726
angles (deg): 90.00 90.00 105.59
Element x y z (fractional)
Ir 0.000 0.000 0.000
Ir 0.000 0.500 0.500
Ir 0.500 0.000 0.500
C 0.500 0.500 0.000

=====

ii | Below is crystalline Ir3C at its relaxed geometry, with properties calculated at the PBE level.

Calculated values
crystal system = tetragonal

a b c (Å): 8.046 8.046 8.046
angles (deg): 151.89 151.89 40.17
Element x y z (fractional)
Ir 0.000 0.500 0.500
Ir 0.136 0.136 0.000
Ir 0.250 0.750 0.500
Ir 0.500 0.000 0.500
Ir 0.750 0.250 0.500
Ir 0.864 0.864 0.000
C 0.449 0.449 0.000
C 0.551 0.551 0.000

=====

iii | Below is crystalline Ir3C at its relaxed geometry, with properties calculated at the PBE level.

Calculated values
crystal system = orthorhombic

a b c (Å): 4.826 4.826 4.826
angles (deg): 146.66 123.27 67.41
Element x y z (fractional)
Ir 0.000 0.000 0.000
Ir 0.308 0.808 0.500
Ir 0.692 0.192 0.500
C 0.500 0.500 0.000

=====

Which structure is most stable, and how do the rest compare? From most to least stable: iii, ii, i.

=====

i | Below is crystalline Ir3C at its relaxed geometry, with properties calculated at the PBE level.

Calculated values
crystal system = hexagonal

a b c (Å): 6.876 6.876 2.709
angles (deg): 90.00 90.00 120.00
Element x y z (fractional)
Ir 0.195 0.391 0.250
Ir 0.195 0.805 0.250
Ir 0.391 0.195 0.750
Ir 0.609 0.805 0.250
Ir 0.805 0.195 0.750
Ir 0.805 0.609 0.750
C 0.333 0.667 0.750
C 0.667 0.333 0.250

=====

ii | Below is crystalline Ir3C at its relaxed geometry, with properties calculated at the PBE level.

Calculated values
crystal system = cubic

a b c (Å): 4.825 4.825 4.825
angles (deg): 90.00 90.00 90.00
Element x y z (fractional)
Ir 0.000 0.250 0.500
Ir 0.000 0.750 0.500
Ir 0.250 0.500 0.000
Ir 0.500 0.000 0.250
Ir 0.500 0.000 0.750
Ir 0.750 0.500 0.000
C 0.000 0.000 0.000
C 0.500 0.500 0.500

=====

iii | Below is crystalline Ir3C at its relaxed geometry, with properties calculated at the PBE level.

Calculated values
crystal system = trigonal

a b c (Å): 4.836 4.836 4.836
angles (deg): 116.31 116.31 116.31
Element x y z (fractional)
Ir 0.000 0.500 0.500
Ir 0.500 0.000 0.500
Ir 0.500 0.500 0.000
C 0.000 0.000 0.000

=====

Which structure is most stable, and how do the rest compare? From most to least stable: i, iii, ii.

=====

i | Below is crystalline Ir3C at its relaxed geometry, with properties calculated at the PBE level.

Calculated values
crystal system = tetragonal

a b c (Å): 4.491 4.491 4.491
angles (deg): 129.04 129.04 74.95
Element x y z (fractional)
Ir 0.000 0.000 0.000
Ir 0.250 0.750 0.500
Ir 0.750 0.250 0.500
C 0.500 0.500 0.000

=====

ii | Below is crystalline Ir3C at its relaxed geometry, with properties calculated at the PBE level.

Calculated values
crystal system = orthorhombic

a b c (Å): 5.624 7.616 4.867
angles (deg): 90.00 90.00 90.00
Element x y z (fractional)
Ir 0.098 0.250 0.219
Ir 0.156 0.068 0.718
Ir 0.156 0.432 0.718
Ir 0.344 0.568 0.218
Ir 0.344 0.932 0.218
Ir 0.402 0.750 0.719
Ir 0.598 0.250 0.281
Ir 0.656 0.068 0.782
Ir 0.656 0.432 0.782
Ir 0.844 0.568 0.282
Ir 0.844 0.932 0.282
Ir 0.902 0.750 0.781
C 0.088 0.750 0.123
C 0.412 0.250 0.623
C 0.588 0.750 0.377
C 0.912 0.250 0.877

=====

Which structure is most stable, and how do the rest compare? From most to least stable: ii, i.

=====

i | Below is crystalline Ir3C at its relaxed geometry, with properties calculated at the PBE level.

Calculated values
crystal system = hexagonal

a b c (Å): 7.027 7.027 5.226
angles (deg): 90.00 90.00 120.00
Element x y z (fractional)
Ir 0.000 0.500 0.000
Ir 0.000 0.500 0.500
Ir 0.134 0.269 0.250
Ir 0.134 0.866 0.250
Ir 0.269 0.134 0.750
Ir 0.500 0.000 0.000
Ir 0.500 0.000 0.500
Ir 0.500 0.500 0.000
Ir 0.500 0.500 0.500
Ir 0.731 0.866 0.250
Ir 0.866 0.134 0.750
Ir 0.866 0.731 0.750
C 0.000 0.000 0.000
C 0.000 0.000 0.500
C 0.333 0.667 0.750
C 0.667 0.333 0.250

=====

ii | Below is crystalline Ir3C at its relaxed geometry, with properties calculated at the PBE level.

Calculated values
crystal system = orthorhombic

a b c (Å): 5.355 5.355 5.355
angles (deg): 149.73 134.10 55.98
Element x y z (fractional)
Ir 0.000 0.000 0.000
Ir 0.301 0.801 0.500
Ir 0.699 0.199 0.500
C 0.500 0.000 0.500

=====

iii | Below is crystalline Ir3C at its relaxed geometry, with properties calculated at the PBE level.

Calculated values
crystal system = trigonal

a b c (Å): 7.712 7.712 7.712
angles (deg): 20.68 20.68 20.68
Element x y z (fractional)
Ir 0.000 0.000 0.000
Ir 0.232 0.232 0.232
Ir 0.768 0.768 0.768
C 0.500 0.500 0.500

=====

Which structure is most stable, and how do the rest compare? From most to least stable: ii, iii, i.